[1]
The following is a PBE-GGA calculation of a geometry-optimized MgAgP structure, from the Alexandria database.

The structure belongs to space group P3m1 (No. 156); the cell edges are 3.1479, 3.1479 and 6.2800 Å and the angles 90.00°, 90.00° and 120.00°. The inequivalent atoms are Mg at (0.0000, 0.0000, 0.0000), Ag at (0.6667, 0.3333, 0.6429) and P at (0.3333, 0.6667, 0.3137).

The calculation puts the final energy at -0.233 Ry per atom.

---

[2]
The following is a PBE-GGA calculation of a geometry-optimized Y3SiNi structure, from the Alexandria database.

The structure belongs to space group Pm-3m (No. 221); the cell edges are 5.106, 5.106 and 5.106 Å and the angles 90.00°, 90.00° and 90.00°. The inequivalent atoms are Y at (0.000, 0.000, 0.500), Si at (0.500, 0.500, 0.500) and Ni at (0.000, 0.000, 0.000).

The offset from the most stable computed form is 117 meV/atom. The raw formation energy is -6.8 kJ/mol of atoms.

---

[3]
The following is a PBE-GGA calculation of a geometry-optimized LiYHf structure, from the Alexandria database.

The structure belongs to space group P-1 (No. 2); the cell edges are 3.343, 3.344 and 15.768 Å and the angles 84.01°, 83.96° and 60.01°. The inequivalent atoms are Li at (0.192, 0.194, 0.425), Y at (0.416, 0.413, 0.753) and Hf at (0.308, 0.309, 0.077).

The offset from the most stable computed form is 7 meV/atom.

---

[4]
The following is a PBE-GGA calculation of a geometry-optimized MgFe2Ru structure, from the Alexandria database.

The structure belongs to space group I-4m2 (No. 119); the cell edges are 3.798, 3.798 and 7.613 Å and the angles 90.00°, 90.00° and 90.00°. The inequivalent atoms are Mg at (0.000, 0.000, 0.000), Fe at (0.000, 0.000, 0.500), Fe at (0.000, 0.500, 0.250) and Ru at (0.000, 0.500, 0.750).

The calculation puts the final energy at -0.494 Ry per atom.

---

[5]
The following is a PBE-GGA calculation of a geometry-optimized BaH2C2O5 structure, from the Alexandria database.

The structure belongs to space group C2/m (No. 12); the cell edges are 10.331, 7.978 and 7.011 Å and the angles 90.00°, 121.87° and 90.00°. The inequivalent atoms are Ba at (0.218, 0.000, 0.320), H at (0.046, 0.396, 0.823), C at (0.138, 0.099, 0.760), O at (0.025, 0.500, 0.733), O at (0.086, 0.168, 0.870) and O at (0.187, 0.171, 0.650).

The calculation puts the final energy at -0.498 Ry per atom.

---

[6]
The following is a PBE-GGA calculation of a geometry-optimized Tb4Y4In structure, from the Alexandria database.

The structure belongs to space group I4/mmm (No. 139); the cell edges are 10.706, 10.706 and 4.854 Å and the angles 90.00°, 90.00° and 90.00°. The inequivalent atoms are Tb at (0.000, 0.337, 0.000), Y at (0.161, 0.161, 0.500) and In at (0.000, 0.000, 0.000).

The calculation puts the final energy at -0.391 Ry per atom.

---

[7]
The following is a PBE-GGA calculation of a geometry-optimized Sm4YAg5 structure, from the Alexandria database.

The structure belongs to space group P4/mmm (No. 123); the cell edges are 3.668, 3.668 and 18.791 Å and the angles 90.00°, 90.00° and 90.00°. The inequivalent atoms are Sm at (0.000, 0.000, 0.101), Sm at (0.000, 0.000, 0.302), Y at (0.000, 0.000, 0.500), Ag at (0.500, 0.500, 0.000), Ag at (0.500, 0.500, 0.201) and Ag at (0.500, 0.500, 0.405).

The calculation puts the final energy at -0.312 Ry per atom.

---

[8]
The following is a PBE-GGA calculation of a geometry-optimized PaSb2Pt structure, from the Alexandria database.

The structure belongs to space group P4/mmm (No. 123); the cell edges are 4.678, 4.678 and 4.105 Å and the angles 90.00°, 90.00° and 90.00°. The inequivalent atoms are Pa at (0.000, 0.000, 0.000), Sb at (0.000, 0.500, 0.500) and Pt at (0.500, 0.500, 0.000).

The raw formation energy is -52.5 kJ/mol of atoms.

---

[9]
The following is a PBE-GGA calculation of a geometry-optimized ReRu3 structure, from the Alexandria database.

The structure belongs to space group Cmmm (No. 65); the cell edges are 5.445, 7.666 and 2.721 Å and the angles 90.00°, 90.00° and 90.00°. The inequivalent atoms are Re at (0.000, 0.000, 0.000), Ru at (0.000, 0.500, 0.000) and Ru at (0.250, 0.250, 0.500).

The offset from the most stable computed form is 152 meV/atom.

---

[10]
The following is a PBE-GGA calculation of a geometry-optimized Tl3PO structure, from the Alexandria database.

The structure belongs to space group Pm-3m (No. 221); the cell edges are 4.992, 4.992 and 4.992 Å and the angles 90.00°, 90.00° and 90.00°. The inequivalent atoms are Tl at (0.000, 0.000, 0.500), P at (0.500, 0.500, 0.500) and O at (0.000, 0.000, 0.000).

The offset from the most stable computed form is 0 meV/atom. The raw formation energy is 13.9 kJ/mol of atoms.

---

[11]
The following is a PBE-GGA calculation of a geometry-optimized InCoAu2 structure, from the Alexandria database.

The structure belongs to space group F-43m (No. 216); the cell edges are 6.501, 6.501 and 6.501 Å and the angles 90.00°, 90.00° and 90.00°. The inequivalent atoms are In at (0.000, 0.000, 0.000), Co at (0.250, 0.250, 0.750), Au at (0.000, 0.000, 0.500) and Au at (0.250, 0.250, 0.250).

The calculation puts the final energy at -0.292 Ry per atom.

---

[12]
The following is a PBE-GGA calculation of a geometry-optimized Sb2TeS2 structure, from the Alexandria database.

The structure belongs to space group P4/mbm (No. 127); the cell edges are 8.966, 8.966 and 3.556 Å and the angles 90.00°, 90.00° and 90.00°. The inequivalent atoms are Sb at (0.229, 0.271, 0.000), Te at (0.000, 0.000, 0.000) and S at (0.134, 0.634, 0.500).

The raw formation energy is -7.3 kJ/mol of atoms.